(1)
{
  "formula": "Ga2IrRh2",
  "functional": "GGA-PBE",
  "state": "relaxed",
  "lattice": [[-4.0503, 4.9094, -3.0897], [-4.6015, -0.4248, 5.3571], [1.4442, 2.0757, 1.4051]],
  "species": ["Rh", "Rh", "Ir", "Ir", "Ga", "Rh", "Ga", "Ga", "Ga", "Rh"],
  "fractional_positions": [[0.8425, 0.3425, 0.5000], [0.6575, 0.8425, 0.5000], [0.0000, 0.0000, 0.0000], [0.5000, 0.5000, 0.0000], [0.8577, 0.6423, 0.0000], [0.1575, 0.6575, 0.5000], [0.1423, 0.3577, 0.0000], [0.3577, 0.8577, 0.0000], [0.6423, 0.1423, 0.0000], [0.3425, 0.1575, 0.5000]],
  "magmom_total_mub_per_fu": 0.00,
  "vol_a3_per_cell": 145,
  "de_polymorph_ev_per_atom": 0.017,
  "formation_energy_mev_per_atom": -305,
  "sg": "P4/mbm (127)"
}

=====

(2)
{
  "formula": "GaIrRh2",
  "functional": "GGA-PBE",
  "state": "relaxed",
  "lattice": [[-0.2902, 0.4309, 2.7232], [2.1602, -1.6659, 0.4938], [4.5818, 5.8132, -0.4316]],
  "species": ["Rh", "Ir", "Rh", "Ga"],
  "fractional_positions": [[0.0000, 0.0000, 0.2449], [0.5000, 0.5000, 0.5000], [0.0000, 0.0000, 0.7551], [0.5000, 0.5000, 0.0000]],
  "magmom_total_mub_per_fu": 0.00,
  "vol_a3_per_cell": 57,
  "formation_energy_mev_per_atom": -247,
  "sg": "P4/mmm (123)"
}

=====

(3)
{
  "formula": "GaIr2Rh4",
  "functional": "GGA-PBE",
  "state": "relaxed",
  "lattice": [[2.7412, 0.0000, 0.0000], [-1.3706, 5.7641, 0.0000], [0.0000, 0.0000, 13.3198]],
  "species": ["Rh", "Rh", "Ir", "Ga", "Rh", "Rh", "Rh", "Ir", "Ir", "Rh", "Rh", "Ir", "Rh", "Ga"],
  "fractional_positions": [[0.1309, 0.2618, 0.6422], [0.8691, 0.7382, 0.1422], [0.8166, 0.6331, 0.5593], [0.4797, 0.9594, 0.7500], [0.5000, 0.0000, 0.0000], [0.7918, 0.5837, 0.7500], [0.5000, 0.0000, 0.5000], [0.1834, 0.3669, 0.4407], [0.1834, 0.3669, 0.0593], [0.2082, 0.4163, 0.2500], [0.8691, 0.7382, 0.3578], [0.8166, 0.6331, 0.9407], [0.1309, 0.2618, 0.8578], [0.5203, 0.0406, 0.2500]],
  "magmom_total_mub_per_fu": 0.00,
  "vol_a3_per_cell": 210,
  "formation_energy_mev_per_atom": 17,
  "sg": "Cmcm (63)"
}

=====

(4)
{
  "formula": "Ga3IrRh",
  "functional": "GGA-PBE",
  "state": "relaxed",
  "lattice": [[-2.7483, -1.7185, -4.8259], [6.5701, 0.5716, -3.9452], [1.2963, -6.4979, 1.2173]],
  "species": ["Ga", "Ir", "Ga", "Ga", "Rh", "Ga", "Ga", "Ga", "Ir", "Ga", "Ga", "Rh", "Ga", "Ir", "Ga", "Ga", "Rh", "Rh", "Ir", "Ga"],
  "fractional_positions": [[0.3154, 0.1457, 0.5576], [0.0052, 0.3999, 0.7066], [0.1846, 0.6457, 0.9424], [0.7890, 0.1265, 0.6892], [0.9865, 0.1472, 0.3112], [0.8154, 0.3543, 0.0576], [0.6846, 0.3966, 0.4416], [0.6846, 0.8543, 0.4424], [0.5052, 0.1001, 0.2066], [0.2110, 0.8735, 0.3108], [0.8154, 0.8966, 0.0584], [0.0135, 0.8528, 0.6888], [0.1846, 0.1034, 0.9416], [0.4948, 0.8999, 0.7934], [0.3154, 0.6034, 0.5584], [0.7110, 0.6265, 0.8108], [0.4865, 0.3528, 0.8112], [0.5135, 0.6472, 0.1888], [0.9948, 0.6001, 0.2934], [0.2890, 0.3735, 0.1892]],
  "magmom_total_mub_per_fu": 0.00,
  "vol_a3_per_cell": 301,
  "de_polymorph_ev_per_atom": 0.012,
  "formation_energy_mev_per_atom": -461,
  "sg": "P2_1/c (14)"
}